Entry 1:
An optimized crystal structure of KMg6FeO8. Source: Alexandria, functional PBE+U.

a b c (Å): 4.406 4.406 8.784
angles (deg): 90.00 90.00 90.00
Each line ends with the local moment (μB).
Sites, in units of the cell vectors:
Mg1 0.000 0.500 0.258  0.00
Mg2 0.000 0.500 0.742  0.00
Mg3 0.000 0.000 0.500  0.00
Mg4 0.500 0.500 0.500  0.00
Mg5 0.500 0.000 0.258  0.00
Mg6 0.500 0.000 0.742  0.00
O1 0.000 0.500 0.500  0.00
O2 0.500 0.500 0.724  0.00
O3 0.500 0.000 0.500  0.00
O4 0.000 0.000 0.757  0.06
O5 0.000 0.000 0.243  0.06
O6 0.500 0.500 0.276  0.00
O7 0.500 0.000 0.000  0.29
O8 0.000 0.500 0.000  0.29
Fe1 0.000 0.000 0.000  4.13
K1 0.500 0.500 0.000  0.03

Values from the calculation:
As for the energy relative to the lowest polymorph listed for this composition: 0.0000 eV/atom. The space group is No. 123.

***

Entry 2:
An optimized crystal structure of KMg6FeO8. Source: Alexandria, functional PBE+U.

a b c (Å): 4.472 4.472 8.577
angles (deg): 90.00 90.00 90.00
Each line ends with the local moment (μB).
Sites, in units of the cell vectors:
Mg1 0.500 0.000 0.752  0.00
Mg2 0.000 0.500 0.248  0.00
Mg3 0.500 0.500 0.500  0.00
Mg4 0.000 0.500 0.752  0.00
Mg5 0.500 0.000 0.248  0.00
Mg6 0.500 0.500 0.000  0.00
Fe1 0.000 0.000 0.000  3.42
K1 0.000 0.000 0.500  0.04
O1 0.500 0.000 0.500  0.15
O2 0.500 0.500 0.249  0.00
O3 0.000 0.500 0.000  -0.01
O4 0.000 0.000 0.220  -0.03
O5 0.000 0.500 0.500  0.15
O6 0.500 0.500 0.751  0.00
O7 0.500 0.000 0.000  -0.01
O8 0.000 0.000 0.780  -0.03

Values from the calculation:
As for the energy relative to the lowest polymorph listed for this composition: 0.0074 eV/atom. The space group is No. 123.

***

Entry 3:
An optimized crystal structure of K4MgFe3P5O20. Source: Alexandria, functional PBE+U.

a b c (Å): 9.876 9.876 9.635
angles (deg): 90.04 90.04 89.71
Each line ends with the local moment (μB).
Sites, in units of the cell vectors:
K1 0.073 0.833 0.537  0.00
K2 0.335 0.436 0.453  0.00
K3 0.833 0.073 0.037  0.00
K4 0.669 0.570 0.465  0.00
K5 0.570 0.669 0.965  0.00
K6 0.436 0.335 0.953  0.00
K7 0.173 0.928 0.042  0.00
K8 0.928 0.173 0.542  0.00
O1 0.380 0.166 0.327  0.10
O2 0.589 0.276 0.476  0.09
O3 0.276 0.589 0.976  0.09
O4 0.223 0.426 0.170  0.11
O5 0.627 0.370 0.713  0.03
O6 0.166 0.380 0.827  0.10
O7 0.219 0.093 0.521  0.09
O8 0.273 0.931 0.324  0.03
O9 0.869 0.877 0.788  0.11
O10 0.117 0.662 0.171  0.10
O11 0.120 0.555 0.591  0.09
O12 0.723 0.067 0.325  0.11
O13 0.127 0.135 0.285  0.12
O14 0.909 0.782 0.024  0.09
O15 0.426 0.223 0.670  0.11
O16 0.625 0.828 0.330  0.01
O17 0.621 0.949 0.908  0.09
O18 0.828 0.625 0.830  0.01
O19 0.779 0.567 0.180  0.11
O20 0.386 0.059 0.904  0.09
O21 0.135 0.127 0.785  0.12
O22 0.567 0.779 0.680  0.11
O23 0.366 0.631 0.723  0.11
O24 0.662 0.117 0.671  0.10
O25 0.446 0.885 0.088  0.04
O26 0.370 0.627 0.213  0.03
O27 0.067 0.723 0.825  0.11
O28 0.877 0.869 0.288  0.11
O29 0.093 0.219 0.021  0.09
O30 0.330 0.881 0.673  0.09
O31 0.555 0.120 0.091  0.09
O32 0.409 0.717 0.483  0.03
O33 0.881 0.330 0.173  0.09
O34 0.059 0.386 0.404  0.09
O35 0.949 0.621 0.408  0.09
O36 0.931 0.273 0.824  0.03
O37 0.782 0.909 0.524  0.09
O38 0.885 0.446 0.588  0.04
O39 0.631 0.366 0.223  0.11
O40 0.717 0.409 0.983  0.03
P1 0.501 0.001 0.999  0.01
P2 0.915 0.746 0.867  0.01
P3 0.579 0.246 0.633  0.01
P4 0.754 0.417 0.136  0.02
P5 0.246 0.579 0.133  0.01
P6 0.254 0.080 0.365  0.01
P7 0.001 0.501 0.499  0.01
P8 0.746 0.915 0.367  0.01
P9 0.080 0.254 0.865  0.01
P10 0.417 0.754 0.636  0.02
Mg1 0.428 0.805 0.289  0.00
Mg2 0.805 0.428 0.789  0.00
Fe1 0.927 0.692 0.212  4.36
Fe2 0.073 0.308 0.209  4.36
Fe3 0.573 0.189 0.289  4.36
Fe4 0.692 0.927 0.712  4.36
Fe5 0.189 0.573 0.789  4.36
Fe6 0.308 0.073 0.709  4.36

Values from the calculation:
The electronic total energy is -442.80 eV per cell. The space group is No. 9.

***

| no. | spin magnetization (μB/f.u.) |
| --- | --- |
| 1 | 5.00 |
| 2 | 3.75 |
| 3 | 15.20 |